A geometry-optimized MgFe2F6 structure. Source: Alexandria via LeMat-Bulk, functional PBE+U.

Output
energy: -5.47 eV per atom
SG: P2_1/c (14)
volume: 234.6 Å³ per cell

a b c (Å): 4.915 5.464 8.735
angles (deg): 89.61 90.00 90.00
Last column: magnetic moment on the atom in μB.
Positions (direct):
Mg (0.500, 0.500, 0.000)  0.00
F (0.279, 0.658, 0.169)  0.04
Mg (0.000, 0.000, 0.500)  0.00
F (0.807, 0.321, 0.498)  0.04
F (0.221, 0.158, 0.669)  0.04
Fe (0.001, 0.500, 0.312)  3.81
F (0.225, 0.159, 0.333)  0.04
F (0.275, 0.659, 0.833)  0.04
F (0.725, 0.341, 0.167)  0.04
F (0.307, 0.179, 0.002)  0.04
F (0.193, 0.679, 0.502)  0.04
Fe (0.499, 0.000, 0.812)  3.81
Fe (0.999, 0.500, 0.688)  3.81
F (0.693, 0.821, 0.998)  0.04
F (0.775, 0.841, 0.667)  0.04
F (0.721, 0.342, 0.831)  0.04
F (0.779, 0.842, 0.331)  0.04
Fe (0.501, 0.000, 0.188)  3.81